Material: Ba2LaCeS6
Method: DFT, GGA-PBE
State: relaxed

Unit cell a=7.3816 b=7.7575 c=12.8447 alpha=90.00 beta=124.62 gamma=90.00
Space group P2_1/c (No. 14)
Symmetry-distinct sites (fractional):
1 Ba 0.2233 0.0674 0.2477
2 La 0.0000 0.0000 0.5000
3 Ce 0.5000 0.0000 0.0000
4 S 0.1545 0.1975 0.9474
5 S 0.2471 0.7122 0.9411
6 S 0.3638 0.0373 0.7565

Results
DOS(E_F), states/eV/f.u.: 15.4
E_tot, eV per cell: -115.35
Formation energy from raw total energies, eV per atom: -1.8203


Material: CsZnCl
Method: DFT, GGA-PBE
State: relaxed

Unit cell a=4.7529 b=4.7544 c=11.7389 alpha=89.89 beta=89.96 gamma=60.12
Space group P1 (No. 1)
Symmetry-distinct sites (fractional):
1 Cs 0.0000 0.0000 0.0000
2 Cs 0.9997 0.0033 0.6264
3 Zn 0.3333 0.3305 0.2466
4 Zn 0.6672 0.6648 0.2322
5 Cl 0.3334 0.3379 0.4589
6 Cl 0.3336 0.3354 0.8245

Results
DOS(E_F), states/eV/f.u.: 0.7
E_tot, eV per cell: -13.97
Formation energy from raw total energies, eV per atom: -1.0044
Distance to the lowest polymorph of the same formula, eV/atom: 0.009


Material: HoCu2Cl6
Method: DFT, GGA-PBE
State: relaxed

Unit cell a=13.6966 b=11.8731 c=6.6001 alpha=90.00 beta=101.86 gamma=90.00
Space group C2/c (No. 15)
Symmetry-distinct sites (fractional):
1 Ho 0.0000 0.0953 0.2500
2 Cu 0.1242 0.4216 0.2262
3 Cl 0.1093 0.0669 0.6237
4 Cl 0.1246 0.2413 0.1427
5 Cl 0.1268 0.4197 0.5664

Results
DOS(E_F), states/eV/f.u.: 4.5
E_tot, eV per cell: -140.90
Formation energy from raw total energies, eV per atom: -1.2640


Material: NaPm2P
Method: DFT, GGA-PBE
State: relaxed

Unit cell a=4.9000 b=4.9000 c=4.0922 alpha=90.00 beta=90.00 gamma=90.00
Space group P4/mmm (No. 123)
Symmetry-distinct sites (fractional):
1 Na 0.0000 0.0000 0.0000
2 Pm 0.0000 0.5000 0.5000
3 P 0.5000 0.5000 0.0000

Results
DOS(E_F), states/eV/f.u.: 2.1
E_tot, eV per cell: -17.72
Calculated formation energy, eV/atom: -0.37
Distance to the lowest polymorph of the same formula, eV/atom: 0.219


Material: YCu2Ir
Method: DFT, GGA-PBE
State: relaxed

Unit cell a=3.3793 b=4.4936 c=4.7897 alpha=90.00 beta=90.28 gamma=90.00
Space group P2/m (No. 10)
Symmetry-distinct sites (fractional):
1 Y 0.0000 0.0000 0.0000
2 Cu 0.4963 0.5000 0.7508
3 Ir 0.5000 0.0000 0.5000

Results
DOS(E_F), states/eV/f.u.: 1.6
E_tot, eV per cell: -23.97
Calculated formation energy, eV/atom: -0.11
Distance to the lowest polymorph of the same formula, eV/atom: 0.168


Material: RbHf2HgP
Method: DFT, GGA-PBE
State: relaxed

Unit cell a=4.9306 b=4.9306 c=6.1180 alpha=90.00 beta=90.00 gamma=90.00
Space group P4/mmm (No. 123)
Symmetry-distinct sites (fractional):
1 Rb 0.0000 0.0000 0.0000
2 Hf 0.0000 0.5000 0.5000
3 Hg 0.5000 0.5000 0.0000
4 P 0.0000 0.0000 0.5000

Results
DOS(E_F), states/eV/f.u.: 5.6
E_tot, eV per cell: -24.92
Calculated formation energy, eV/atom: 0.33


Material: BaZrTi2
Method: DFT, GGA-PBE
State: relaxed

Unit cell a=5.0103 b=5.0103 c=20.1351 alpha=90.00 beta=90.00 gamma=90.00
Space group I4_1/amd (No. 141, origin choice 2)
Symmetry-distinct sites (fractional):
1 Ba 0.0000 0.2500 0.3750
2 Zr 0.0000 0.2500 0.8750
3 Ti 0.0000 0.0000 0.0000

Results
DOS(E_F), states/eV/f.u.: 6.8
E_tot, eV per cell: -87.08
Calculated formation energy, eV/atom: 1.12
Distance to the lowest polymorph of the same formula, eV/atom: 0.376


Material: Tb12SmEr3
Method: DFT, GGA-PBE
State: relaxed

Unit cell a=5.0263 b=5.0263 c=20.0947 alpha=90.00 beta=90.00 gamma=90.00
Space group P4/mmm (No. 123)
Symmetry-distinct sites (fractional):
1 Tb 0.0000 0.0000 0.0000
2 Tb 0.0000 0.0000 0.2487
3 Tb 0.0000 0.0000 0.5000
4 Tb 0.0000 0.5000 0.1245
5 Tb 0.0000 0.5000 0.3736
6 Sm 0.5000 0.5000 0.5000
7 Er 0.5000 0.5000 0.0000
8 Er 0.5000 0.5000 0.2491

Results
DOS(E_F), states/eV/f.u.: 21.5
E_tot, eV per cell: -73.69
Calculated formation energy, eV/atom: 0.02


Material: AlZn2Tc
Method: DFT, GGA-PBE
State: relaxed

Unit cell a=3.2678 b=4.3348 c=8.4922 alpha=90.00 beta=90.00 gamma=90.00
Space group Cmm2 (No. 35)
Symmetry-distinct sites (fractional):
1 Al 0.0000 0.0000 0.0000
2 Zn 0.0000 0.0000 0.4805
3 Zn 0.0000 0.5000 0.7378
4 Tc 0.0000 0.5000 0.2329

Results
DOS(E_F), states/eV/f.u.: 2.3
E_tot, eV per cell: -32.81
Calculated formation energy, eV/atom: 0.06


Material: Cd2InW
Method: DFT, GGA-PBE
State: relaxed

Unit cell a=2.9673 b=4.4073 c=6.1252 alpha=90.00 beta=90.00 gamma=90.00
Space group Pmm2 (No. 25)
Symmetry-distinct sites (fractional):
1 Cd 0.0000 0.0000 0.0000
2 Cd 0.5000 0.5000 0.2412
3 In 0.0000 0.0000 0.5332
4 W 0.5000 0.5000 0.7462

Results
DOS(E_F), states/eV/f.u.: 3.5
E_tot, eV per cell: -15.26
Calculated formation energy, eV/atom: 0.57


Material: Rb2YAgI6
Method: DFT, GGA-PBE
State: relaxed

Unit cell a=12.1177 b=12.1177 c=12.1177 alpha=90.00 beta=90.00 gamma=90.00
Space group Fm-3m (No. 225)
Symmetry-distinct sites (fractional):
1 Rb 0.2500 0.2500 0.2500
2 Y 0.0000 0.0000 0.0000
3 Ag 0.0000 0.0000 0.5000
4 I 0.0000 0.0000 0.2497

Results
DOS(E_F), states/eV/f.u.: 0.0
E_tot, eV per cell: -129.07
Formation energy from raw total energies, eV per atom: -1.1716
Distance to the lowest polymorph of the same formula, eV/atom: 0.028


Material: SbRuPb
Method: DFT, GGA-PBE
State: relaxed

Unit cell a=4.5172 b=4.5462 c=7.2392 alpha=90.00 beta=104.08 gamma=90.00
Space group P2_1/m (No. 11)
Symmetry-distinct sites (fractional):
1 Sb 0.1683 0.2500 0.2908
2 Ru 0.2499 0.7500 0.4986
3 Pb 0.3634 0.2500 0.8012

Results
DOS(E_F), states/eV/f.u.: 1.7
E_tot, eV per cell: -34.11
Formation energy from raw total energies, eV per atom: 0.0178
Distance to the lowest polymorph of the same formula, eV/atom: 0.000


- Which of these has the highest DOS(E_F)?
  Tb12SmEr3